Entry 1:
# Sr2ZnAg3Sn4, optimized geometry, DFT PBE
data_Sr2ZnAg3Sn4
_space_group_name_H-M_alt 'P -4 m 2'
_space_group_IT_number 115
_cell_length_a 4.6754
_cell_length_b 4.6754
_cell_length_c 11.8316
_cell_angle_alpha 90.00
_cell_angle_beta 90.00
_cell_angle_gamma 90.00
loop_
_space_group_symop_operation_xyz
'x,y,z'
'y,-x,-z'
'-x,-y,z'
'-y,x,-z'
'-x,y,z'
'-y,-x,-z'
'x,-y,z'
'y,x,-z'
loop_
_atom_site_label
_atom_site_fract_x
_atom_site_fract_y
_atom_site_fract_z
Sr1 0.0000 0.5000 0.2415
Zn1 0.5000 0.5000 0.0000
Ag1 0.0000 0.0000 0.0000
Ag2 0.0000 0.5000 0.6411
Sn1 0.0000 0.0000 0.5000
Sn2 0.0000 0.5000 0.8703
Sn3 0.5000 0.5000 0.5000
# Fermi-level density of states, states/eV/f.u.: 4.37
# Energy, eV per atom: -3.274
# Density, Mg/m³: 6.67

***

Entry 2:
# AlZnCrPd, optimized geometry, DFT PBE
data_AlZnCrPd
_space_group_name_H-M_alt 'F -4 3 m'
_space_group_IT_number 216
_space_group_name_Hall 'F -4 2 3'
_cell_length_a 6.1266
_cell_length_b 6.1266
_cell_length_c 6.1266
_cell_angle_alpha 90.00
_cell_angle_beta 90.00
_cell_angle_gamma 90.00
loop_
_atom_site_label
_atom_site_fract_x
_atom_site_fract_y
_atom_site_fract_z
Al1 0.0000 0.0000 0.0000
Zn1 0.0000 0.0000 0.5000
Cr1 0.2500 0.2500 0.2500
Pd1 0.2500 0.2500 0.7500
# Fermi-level density of states, states/eV/f.u.: 1.83
# Energy, eV per atom: -5.254
# Density, Mg/m³: 7.24

***

Entry 3:
# Ac2CuSb3Pt4, optimized geometry, DFT PBE
data_Ac2CuSb3Pt4
_space_group_name_H-M_alt 'P -4 m 2'
_space_group_IT_number 115
_cell_length_a 4.6808
_cell_length_b 4.6808
_cell_length_c 10.4553
_cell_angle_alpha 90.00
_cell_angle_beta 90.00
_cell_angle_gamma 90.00
loop_
_space_group_symop_operation_xyz
'x,y,z'
'y,-x,-z'
'-x,-y,z'
'-y,x,-z'
'-x,y,z'
'-y,-x,-z'
'x,-y,z'
'y,x,-z'
loop_
_atom_site_label
_atom_site_fract_x
_atom_site_fract_y
_atom_site_fract_z
Ac1 0.0000 0.5000 0.2502
Cu1 0.0000 0.0000 0.5000
Sb1 0.0000 0.5000 0.8689
Sb2 0.5000 0.5000 0.5000
Pt1 0.0000 0.0000 0.0000
Pt2 0.0000 0.5000 0.6167
Pt3 0.5000 0.5000 0.0000
# Fermi-level density of states, states/eV/f.u.: 5.27
# Density, Mg/m³: 12.06
# Formation energy without anion corrections, eV/f.u.: -8.49

***

Entry 4:
# KCdO, optimized geometry, DFT PBE
data_KCdO
_space_group_name_H-M_alt 'C 1 c 1'
_space_group_IT_number 9
_cell_length_a 11.7033
_cell_length_b 6.9584
_cell_length_c 6.9953
_cell_angle_alpha 90.00
_cell_angle_beta 108.02
_cell_angle_gamma 90.00
loop_
_space_group_symop_operation_xyz
'x,y,z'
'x,-y,z+1/2'
'x+1/2,y+1/2,z'
'x+1/2,-y+1/2,z+1/2'
loop_
_atom_site_label
_atom_site_fract_x
_atom_site_fract_y
_atom_site_fract_z
K1 0.0000 0.1558 0.0000
K2 0.2784 0.3246 0.0667
Cd1 0.0107 0.3455 0.4519
Cd2 0.2549 0.1727 0.5985
O1 0.3385 0.0352 0.3731
O2 0.3919 0.3833 0.7729
# Energy relative to the lowest polymorph listed for this composition, kJ per mole of atoms: 0.21
# Density, Mg/m³: 4.11
# Formation energy without anion corrections, eV/f.u.: -2.63

***

Entry 5:
# Ba2TlRhAu, optimized geometry, DFT PBE
data_Ba2TlRhAu
_space_group_name_H-M_alt 'P 4/m m m'
_space_group_IT_number 123
_space_group_name_Hall '-P 4 2'
_cell_length_a 5.9496
_cell_length_b 5.9496
_cell_length_c 5.2214
_cell_angle_alpha 90.00
_cell_angle_beta 90.00
_cell_angle_gamma 90.00
loop_
_atom_site_label
_atom_site_fract_x
_atom_site_fract_y
_atom_site_fract_z
Ba1 0.0000 0.5000 0.0000
Tl1 0.0000 0.0000 0.5000
Rh1 0.0000 0.0000 0.0000
Au1 0.5000 0.5000 0.5000
# Fermi-level density of states, states/eV/f.u.: 3.52
# Energy relative to the lowest polymorph listed for this composition, kJ per mole of atoms: 0.00
# Density, Mg/m³: 7.00

***

Entry 6:
# TaFeBr2, optimized geometry, DFT PBE
data_TaFeBr2
_space_group_name_H-M_alt 'R -3 m'
_space_group_IT_number 166
_space_group_name_Hall '-R 3 2"'
_cell_length_a 3.1913
_cell_length_b 3.1913
_cell_length_c 28.0819
_cell_angle_alpha 90.00
_cell_angle_beta 90.00
_cell_angle_gamma 120.00
loop_
_atom_site_label
_atom_site_fract_x
_atom_site_fract_y
_atom_site_fract_z
Ta1 0.0000 0.0000 0.0000
Fe1 0.0000 0.0000 0.5000
Br1 0.0000 0.0000 0.4031
# Fermi-level density of states, states/eV/f.u.: 5.93
# Energy relative to the lowest polymorph listed for this composition, kJ per mole of atoms: 40.09
# Density, Mg/m³: 7.98
# Formation energy without anion corrections, eV/f.u.: 1.71

***

Entry 7:
# Ho3Tl2C, optimized geometry, DFT PBE
data_Ho3Tl2C
_space_group_name_H-M_alt 'C m m m'
_space_group_IT_number 65
_space_group_name_Hall '-C 2 2'
_cell_length_a 4.9377
_cell_length_b 16.0854
_cell_length_c 3.6076
_cell_angle_alpha 90.00
_cell_angle_beta 90.00
_cell_angle_gamma 90.00
loop_
_atom_site_label
_atom_site_fract_x
_atom_site_fract_y
_atom_site_fract_z
Ho1 0.0000 0.0000 0.0000
Ho2 0.0000 0.3954 0.5000
Tl1 0.0000 0.1935 0.0000
C1 0.0000 0.5000 0.0000
# Fermi-level density of states, states/eV/f.u.: 1.75
# Energy, eV per atom: -4.994
# Density, Mg/m³: 10.61

***

Entry 8:
# TbSm6Dy3, optimized geometry, DFT PBE
data_TbSm6Dy3
_space_group_name_H-M_alt 'C m c 21'
_space_group_IT_number 36
_cell_length_a 9.7639
_cell_length_b 21.2504
_cell_length_c 6.4158
_cell_angle_alpha 90.00
_cell_angle_beta 90.00
_cell_angle_gamma 90.00
loop_
_space_group_symop_operation_xyz
'x,y,z'
'-x,-y,z+1/2'
'-x,y,z'
'x,-y,z+1/2'
'x+1/2,y+1/2,z'
'-x+1/2,-y+1/2,z+1/2'
'-x+1/2,y+1/2,z'
'x+1/2,-y+1/2,z+1/2'
loop_
_atom_site_label
_atom_site_fract_x
_atom_site_fract_y
_atom_site_fract_z
Tb1 0.0000 0.1591 0.0000
Sm1 0.0000 0.0158 0.1963
Sm2 0.0000 0.3008 0.2187
Sm3 0.1749 0.2809 0.6889
Sm4 0.1804 0.4399 0.4436
Dy1 0.0000 0.4197 0.9227
Dy2 0.1679 0.1261 0.5248
# Fermi-level density of states, states/eV/f.u.: 16.33
# Energy relative to the lowest polymorph listed for this composition, kJ per mole of atoms: 0.00
# Density, Mg/m³: 7.73

***

Entry 9:
# Rb2InPbI6, optimized geometry, DFT PBE
data_Rb2InPbI6
_space_group_name_H-M_alt 'I 4/m m m'
_space_group_IT_number 139
_space_group_name_Hall '-I 4 2'
_cell_length_a 8.8479
_cell_length_b 8.8479
_cell_length_c 12.4589
_cell_angle_alpha 90.00
_cell_angle_beta 90.00
_cell_angle_gamma 90.00
loop_
_atom_site_label
_atom_site_fract_x
_atom_site_fract_y
_atom_site_fract_z
Rb1 0.0000 0.5000 0.2500
In1 0.0000 0.0000 0.0000
Pb1 0.0000 0.0000 0.5000
I1 0.0000 0.0000 0.2454
I2 0.2458 0.2458 0.0000
# Fermi-level density of states, states/eV/f.u.: 3.95
# Density, Mg/m³: 4.27
# Formation energy without anion corrections, eV/f.u.: -8.83

***

Entry 10:
# Y2TmBi, optimized geometry, DFT PBE
data_Y2TmBi
_space_group_name_H-M_alt 'R -3 m'
_space_group_IT_number 166
_space_group_name_Hall '-R 3 2"'
_cell_length_a 3.6315
_cell_length_b 3.6315
_cell_length_c 32.4533
_cell_angle_alpha 90.00
_cell_angle_beta 90.00
_cell_angle_gamma 120.00
loop_
_atom_site_label
_atom_site_fract_x
_atom_site_fract_y
_atom_site_fract_z
Y1 0.0000 0.0000 0.2468
Tm1 0.0000 0.0000 0.0000
Bi1 0.0000 0.0000 0.5000
# Fermi-level density of states, states/eV/f.u.: 4.02
# Energy relative to the lowest polymorph listed for this composition, kJ per mole of atoms: 17.36
# Density, Mg/m³: 7.47

***

Entry 11:
# LaThIrPt, optimized geometry, DFT PBE
data_LaThIrPt
_space_group_name_H-M_alt 'A m m 2'
_space_group_IT_number 38
_cell_length_a 4.3113
_cell_length_b 3.9441
_cell_length_c 11.4948
_cell_angle_alpha 90.00
_cell_angle_beta 90.00
_cell_angle_gamma 90.00
loop_
_space_group_symop_operation_xyz
'x,y,z'
'-x,-y,z'
'-x,y,z'
'x,-y,z'
'x,y+1/2,z+1/2'
'-x,-y+1/2,z+1/2'
'-x,y+1/2,z+1/2'
'x,-y+1/2,z+1/2'
loop_
_atom_site_label
_atom_site_fract_x
_atom_site_fract_y
_atom_site_fract_z
La1 0.0000 0.0000 0.0000
Th1 0.5000 0.0000 0.7264
Ir1 0.0000 0.0000 0.2598
Pt1 0.5000 0.0000 0.4512
# Fermi-level density of states, states/eV/f.u.: 2.75
# Energy relative to the lowest polymorph listed for this composition, kJ per mole of atoms: 0.00
# Density, Mg/m³: 12.88

***

Entry 12:
# Er4Tm2MgSc, optimized geometry, DFT PBE
data_Er4Tm2MgSc
_space_group_name_H-M_alt 'P 4/m m m'
_space_group_IT_number 123
_space_group_name_Hall '-P 4 2'
_cell_length_a 4.8910
_cell_length_b 4.8910
_cell_length_c 9.6254
_cell_angle_alpha 90.00
_cell_angle_beta 90.00
_cell_angle_gamma 90.00
loop_
_atom_site_label
_atom_site_fract_x
_atom_site_fract_y
_atom_site_fract_z
Er1 0.0000 0.5000 0.2468
Tm1 0.0000 0.0000 0.0000
Tm2 0.5000 0.5000 0.5000
Mg1 0.0000 0.0000 0.5000
Sc1 0.5000 0.5000 0.0000
# Fermi-level density of states, states/eV/f.u.: 11.86
# Energy, eV per atom: -4.359
# Density, Mg/m³: 7.76

***

Entry 13:
# RbSrSiN2, optimized geometry, DFT PBE
data_RbSrSiN2
_space_group_name_H-M_alt 'P 4/m m m'
_space_group_IT_number 123
_space_group_name_Hall '-P 4 2'
_cell_length_a 4.7728
_cell_length_b 4.7728
_cell_length_c 5.3668
_cell_angle_alpha 90.00
_cell_angle_beta 90.00
_cell_angle_gamma 90.00
loop_
_atom_site_label
_atom_site_fract_x
_atom_site_fract_y
_atom_site_fract_z
Rb1 0.0000 0.0000 0.0000
Sr1 0.5000 0.5000 0.5000
Si1 0.0000 0.0000 0.5000
N1 0.0000 0.5000 0.0000
# Fermi-level density of states, states/eV/f.u.: 5.96
# Density, Mg/m³: 3.11
# Formation energy without anion corrections, eV/f.u.: 10.33

***

Entry 14:
# CaY2Se4, optimized geometry, DFT PBE
data_CaY2Se4
_space_group_name_H-M_alt 'I m m a'
_space_group_IT_number 74
_space_group_name_Hall '-I 2b 2'
_cell_length_a 8.3224
_cell_length_b 8.3754
_cell_length_c 11.5359
_cell_angle_alpha 90.00
_cell_angle_beta 90.00
_cell_angle_gamma 90.00
loop_
_atom_site_label
_atom_site_fract_x
_atom_site_fract_y
_atom_site_fract_z
Ca1 0.0000 0.0000 0.0000
Y1 0.0000 0.0000 0.5000
Y2 0.2500 0.2500 0.2500
Se1 0.0000 0.0132 0.2536
Se2 0.2427 0.2500 0.5009
# Energy relative to the lowest polymorph listed for this composition, kJ per mole of atoms: 0.00
# Density, Mg/m³: 4.41
# Formation energy without anion corrections, eV/f.u.: -13.48

***

Entry 15:
# SbTe2BrCl, optimized geometry, DFT PBE
data_SbTe2BrCl
_space_group_name_H-M_alt 'P 4/m m m'
_space_group_IT_number 123
_space_group_name_Hall '-P 4 2'
_cell_length_a 5.4482
_cell_length_b 5.4482
_cell_length_c 5.5369
_cell_angle_alpha 90.00
_cell_angle_beta 90.00
_cell_angle_gamma 90.00
loop_
_atom_site_label
_atom_site_fract_x
_atom_site_fract_y
_atom_site_fract_z
Sb1 0.0000 0.0000 0.0000
Te1 0.0000 0.5000 0.5000
Br1 0.5000 0.5000 0.0000
Cl1 0.0000 0.0000 0.5000
# Fermi-level density of states, states/eV/f.u.: 7.15
# Energy relative to the lowest polymorph listed for this composition, kJ per mole of atoms: 0.00
# Density, Mg/m³: 4.97
# Formation energy without anion corrections, eV/f.u.: 3.79

***

Entry 16:
# CaNd2MnN4, optimized geometry, DFT PBE
data_CaNd2MnN4
_space_group_name_H-M_alt 'C m c m'
_space_group_IT_number 63
_space_group_name_Hall '-C 2c 2'
_cell_length_a 3.5257
_cell_length_b 12.2486
_cell_length_c 12.0535
_cell_angle_alpha 90.00
_cell_angle_beta 90.00
_cell_angle_gamma 90.00
loop_
_atom_site_label
_atom_site_fract_x
_atom_site_fract_y
_atom_site_fract_z
Ca1 0.0000 0.1254 0.2500
Nd1 0.0000 0.3700 0.0410
Mn1 0.0000 0.1738 0.7500
N1 0.0000 0.0000 0.0000
N2 0.0000 0.2643 0.6311
N3 0.0000 0.3901 0.2500
# Fermi-level density of states, states/eV/f.u.: 1.98
# Density, Mg/m³: 5.61
# Formation energy without anion corrections, eV/f.u.: -7.17

***

Entry 17:
# CsAl2Pb2, optimized geometry, DFT PBE
data_CsAl2Pb2
_space_group_name_H-M_alt 'P 4/m b m'
_space_group_IT_number 127
_space_group_name_Hall '-P 4 2ab'
_cell_length_a 9.3698
_cell_length_b 9.3698
_cell_length_c 3.4668
_cell_angle_alpha 90.00
_cell_angle_beta 90.00
_cell_angle_gamma 90.00
loop_
_atom_site_label
_atom_site_fract_x
_atom_site_fract_y
_atom_site_fract_z
Cs1 0.0000 0.0000 0.0000
Al1 0.1242 0.3758 0.0000
Pb1 0.1506 0.6506 0.5000
# Fermi-level density of states, states/eV/f.u.: 2.59
# Energy relative to the lowest polymorph listed for this composition, kJ per mole of atoms: 19.94
# Density, Mg/m³: 6.56

***

Entry 18:
# RbHgAs2Br, optimized geometry, DFT PBE
data_RbHgAs2Br
_space_group_name_H-M_alt 'P 4/m m m'
_space_group_IT_number 123
_space_group_name_Hall '-P 4 2'
_cell_length_a 7.7460
_cell_length_b 7.7460
_cell_length_c 6.3278
_cell_angle_alpha 90.00
_cell_angle_beta 90.00
_cell_angle_gamma 90.00
loop_
_atom_site_label
_atom_site_fract_x
_atom_site_fract_y
_atom_site_fract_z
Rb1 0.0000 0.0000 0.0000
Hg1 0.5000 0.5000 0.5000
As1 0.0000 0.5000 0.0000
Br1 0.0000 0.0000 0.5000
# Energy relative to the lowest polymorph listed for this composition, kJ per mole of atoms: 57.75
# Density, Mg/m³: 2.26
# Formation energy without anion corrections, eV/f.u.: 3.32

***

Entry 19:
# TbEr8Hg2, optimized geometry, DFT PBE
data_TbEr8Hg2
_space_group_name_H-M_alt 'C 1 2/m 1'
_space_group_IT_number 12
_cell_length_a 8.7894
_cell_length_b 14.7037
_cell_length_c 5.4656
_cell_angle_alpha 90.00
_cell_angle_beta 110.35
_cell_angle_gamma 90.00
loop_
_space_group_symop_operation_xyz
'x,y,z'
'-x,-y,-z'
'-x,y,-z'
'x,-y,z'
'x+1/2,y+1/2,z'
'-x+1/2,-y+1/2,-z'
'-x+1/2,y+1/2,-z'
'x+1/2,-y+1/2,z'
loop_
_atom_site_label
_atom_site_fract_x
_atom_site_fract_y
_atom_site_fract_z
Tb1 0.0000 0.0000 0.0000
Er1 0.0000 0.2250 0.0000
Er2 0.1027 0.5000 0.7993
Er3 0.2061 0.1148 0.6074
Hg1 0.0000 0.3069 0.5000
# Fermi-level density of states, states/eV/f.u.: 14.74
# Energy, eV per atom: -3.838
# Density, Mg/m³: 9.52

***

Entry 20:
# Ca3TlB, optimized geometry, DFT PBE
data_Ca3TlB
_space_group_name_H-M_alt 'P m -3 m'
_space_group_IT_number 221
_space_group_name_Hall '-P 4 2 3'
_cell_length_a 5.9193
_cell_length_b 5.9193
_cell_length_c 5.9193
_cell_angle_alpha 90.00
_cell_angle_beta 90.00
_cell_angle_gamma 90.00
loop_
_atom_site_label
_atom_site_fract_x
_atom_site_fract_y
_atom_site_fract_z
Ca1 0.0000 0.0000 0.5000
Tl1 0.0000 0.0000 0.0000
B1 0.5000 0.5000 0.5000
# Fermi-level density of states, states/eV/f.u.: 5.86
# Energy relative to the lowest polymorph listed for this composition, kJ per mole of atoms: 82.05
# Density, Mg/m³: 2.69